No. 1
12
Lattice="-0.055 -7.570 -2.261 2.629 1.918 7.200 -7.804 1.090 1.121" Properties=species:S:1:pos:R:3 comment="PBE Na2PuTe6Pb3, optimized geometry" e_tot_ev_per_atom=-4.558 volume_a3_per_atom=33.97 magnetic_moment_mub_per_atom=0.332 space_group="C2/m, No. 12" raw_formation_energy_ev_per_atom=-0.645 pbc="T T T"
Na 1.736 -1.240 4.051
Na 0.838 -4.413 0.888
Pu 0.000 0.000 0.000
Te -4.421 -4.975 3.122
Te 0.034 -4.045 4.048
Te -0.809 0.412 2.938
Te -3.572 -1.974 6.114
Te -5.265 -0.517 2.012
Te -1.658 -2.589 -0.055
Pb -1.713 0.909 6.211
Pb -3.518 -5.472 -0.151
Pb -2.615 -2.281 3.030

No. 2
8
Lattice="4.787 0.000 0.000 0.000 4.787 0.000 0.000 0.000 9.562" Properties=species:S:1:pos:R:3 comment="PBE Tm6CdIn, optimized geometry" formation_energy_ev_per_atom=-0.17 e_tot_ev_per_atom=-3.983 volume_a3_per_atom=27.39 magnetic_moment_mub_per_atom=0.000 space_group="P4/mmm, No. 123" pbc="T T T"
Tm 2.393 2.393 0.000
Tm 2.393 2.393 4.781
Tm 2.393 0.000 2.396
Tm 2.393 0.000 7.166
Tm 0.000 2.393 2.396
Tm 0.000 2.393 7.166
Cd 0.000 0.000 4.781
In 0.000 0.000 0.000